Entry 1:
Material: PI2NF
Method: DFT, meta-GGA SCAN
State: single point on PBEsol structure

a = 3.188 Å, b = 5.559 Å, c = 5.559 Å
α = 90.00°, β = 90.00°, γ = 90.00°
Last column: magnetic moment on the atom in μB.
Atoms (fractional coordinates):
N: 0.500 0.000 0.000  -0.01
I: 0.000 0.500 0.000  0.05
I: 0.000 0.000 0.500  0.05
F: 0.500 0.500 0.500  0.23
P: 0.000 0.000 0.000  -0.01

Properties
Calculated density ... 5.355 Mg/m³
Uncorrected formation energy ... 366 meV/atom
Symmetry ... P4/mmm (123)
Total magnetization ... 0.067 μB per atom


Entry 2:
Material: ZrAs
Method: DFT, meta-GGA SCAN
State: single point on PBEsol structure

a = 3.753 Å, b = 3.753 Å, c = 6.652 Å
α = 90.00°, β = 90.00°, γ = 120.00°
Atoms (fractional coordinates):
As: 0.667 0.333 0.750
As: 0.333 0.667 0.250
Zr: 0.000 0.000 0.000
Zr: 0.000 0.000 0.500

Properties
Calculated density ... 6.802 Mg/m³
Symmetry ... P6_3/mmc (194)
E ... -26.660 eV per atom
Total magnetization ... 0.000 μB per atom


Entry 3:
Material: CoW
Method: DFT, meta-GGA SCAN
State: single point on PBEsol structure

a = 2.664 Å, b = 4.018 Å, c = 4.956 Å
α = 90.00°, β = 105.59°, γ = 90.00°
Atoms (fractional coordinates):
W: 0.157 0.250 0.315
W: 0.843 0.750 0.685
Co: 0.427 0.250 0.855
Co: 0.573 0.750 0.145

Properties
Calculated density ... 15.782 Mg/m³
Symmetry ... Cmcm (63)
E ... -43.230 eV per atom
Total magnetization ... 0.000 μB per atom


Entry 4:
Material: Co3N
Method: DFT, meta-GGA SCAN
State: single point on PBEsol structure

a = 4.276 Å, b = 4.462 Å, c = 4.462 Å
α = 120.00°, β = 90.00°, γ = 90.00°
Last column: magnetic moment on the atom in μB.
Atoms (fractional coordinates):
Co: 0.000 0.000 0.675  1.24
Co: 0.500 0.675 0.675  1.24
Co: 0.000 0.675 0.000  1.24
Co: 0.500 0.325 0.000  1.24
Co: 0.500 0.000 0.325  1.24
Co: 0.000 0.325 0.325  1.24
N: 0.250 0.667 0.333  -0.04
N: 0.750 0.333 0.667  -0.04

Properties
Calculated density ... 8.596 Mg/m³
Uncorrected formation energy ... 189 meV/atom
Symmetry ... P6_322 (182)
Total magnetization ... 0.893 μB per atom


Entry 5:
Material: TlCrCu
Method: DFT, meta-GGA SCAN
State: single point on PBEsol structure

a = 4.357 Å, b = 4.357 Å, c = 4.357 Å
α = 60.00°, β = 60.00°, γ = 60.00°
Last column: magnetic moment on the atom in μB.
Atoms (fractional coordinates):
Cu: 0.500 0.500 0.500  -0.01
Tl: 0.250 0.250 0.250  -0.04
Cr: 0.000 0.000 0.000  3.79

Properties
Calculated density ... 9.084 Mg/m³
Symmetry ... F-43m (216)
E ... -34.707 eV per atom
Total magnetization ... 1.286 μB per atom


Entry 6:
Material: Mn2SbRh
Method: DFT, meta-GGA SCAN
State: single point on PBEsol structure

a = 3.864 Å, b = 3.864 Å, c = 4.747 Å
α = 114.02°, β = 114.02°, γ = 90.00°
Last column: magnetic moment on the atom in μB.
Atoms (fractional coordinates):
Mn: 0.750 0.250 0.500  3.69
Mn: 0.250 0.750 0.500  3.69
Rh: 0.000 0.000 0.000  0.34
Sb: 0.500 0.500 0.000  -0.10

Properties
Calculated density ... 9.587 Mg/m³
Uncorrected formation energy ... -300 meV/atom
Symmetry ... I4/mmm (139)
Total magnetization ... 1.939 μB per atom


Entry 7:
Material: TaGeSb3
Method: DFT, meta-GGA SCAN
State: single point on PBEsol structure

a = 5.281 Å, b = 5.281 Å, c = 5.281 Å
α = 90.00°, β = 90.00°, γ = 90.00°
Atoms (fractional coordinates):
Sb: 0.000 0.500 0.000
Sb: 0.000 0.000 0.500
Sb: 0.500 0.000 0.000
Ge: 0.500 0.500 0.500
Ta: 0.000 0.000 0.000

Properties
Calculated density ... 6.978 Mg/m³
Uncorrected formation energy ... 740 meV/atom
Symmetry ... Pm-3m (221)
Total magnetization ... 0.000 μB per atom


Entry 8:
Material: LiSe3
Method: DFT, meta-GGA SCAN
State: single point on PBEsol structure

a = 4.669 Å, b = 4.669 Å, c = 4.669 Å
α = 109.47°, β = 109.47°, γ = 109.47°
Atoms (fractional coordinates):
Se: 0.000 0.500 0.500
Se: 0.500 0.500 0.000
Se: 0.500 0.000 0.500
Li: 0.000 0.000 0.000

Properties
Calculated density ... 5.168 Mg/m³
Distance to the lowest polymorph of the same formula ... 0.0 meV/atom
Uncorrected formation energy ... -484 meV/atom
Symmetry ... Im-3m (229)
Total magnetization ... 0.000 μB per atom


Entry 9:
Material: Mn2SiPt
Method: DFT, meta-GGA SCAN
State: single point on PBEsol structure

a = 3.773 Å, b = 4.364 Å, c = 3.773 Å
α = 115.61°, β = 90.00°, γ = 115.61°
Last column: magnetic moment on the atom in μB.
Atoms (fractional coordinates):
Si: 0.250 0.500 0.750  0.01
Mn: 0.000 0.000 0.000  -1.78
Mn: 0.750 0.500 0.250  3.48
Pt: 0.500 0.000 0.500  0.13

Properties
Calculated density ... 11.249 Mg/m³
Uncorrected formation energy ... -547 meV/atom
Symmetry ... I-4m2 (119)
Total magnetization ... 0.471 μB per atom


Entry 10:
Material: LaZn3Fe
Method: DFT, meta-GGA SCAN
State: single point on PBEsol structure

a = 5.397 Å, b = 5.397 Å, c = 5.397 Å
α = 90.00°, β = 90.00°, γ = 90.00°
Last column: magnetic moment on the atom in μB.
Atoms (fractional coordinates):
Zn: 0.000 0.000 0.500  -0.08
Zn: 0.500 0.000 0.000  -0.08
Zn: 0.000 0.500 0.000  -0.08
Fe: 0.500 0.500 0.500  3.48
La: 0.000 0.000 0.000  -0.46

Properties
Calculated density ... 4.130 Mg/m³
Symmetry ... Pm-3m (221)
E ... -18.805 eV per atom
Total magnetization ... 0.446 μB per atom


Entry 11:
Material: NbCrHg3
Method: DFT, meta-GGA SCAN
State: single point on PBEsol structure

a = 5.267 Å, b = 5.267 Å, c = 5.267 Å
α = 90.00°, β = 90.00°, γ = 90.00°
Last column: magnetic moment on the atom in μB.
Atoms (fractional coordinates):
Hg: 0.000 0.000 0.500  -0.06
Hg: 0.500 0.000 0.000  -0.06
Hg: 0.000 0.500 0.000  -0.06
Nb: 0.000 0.000 0.000  -0.94
Cr: 0.500 0.500 0.500  4.38

Properties
Calculated density ... 8.487 Mg/m³
Symmetry ... Pm-3m (221)
E ... -50.217 eV per atom
Total magnetization ... 0.683 μB per atom


Entry 12:
Material: Fe3Ir
Method: DFT, meta-GGA SCAN
State: single point on PBEsol structure

a = 2.566 Å, b = 2.566 Å, c = 8.175 Å
α = 90.00°, β = 90.00°, γ = 114.06°
Last column: magnetic moment on the atom in μB.
Atoms (fractional coordinates):
Ir: 0.500 0.500 0.500  0.65
Fe: 0.000 0.000 0.238  2.95
Fe: 0.500 0.500 0.000  2.71
Fe: 0.000 0.000 0.762  2.95

Properties
Calculated density ... 12.153 Mg/m³
Symmetry ... Cmmm (65)
E ... -31.419 eV per atom
Total magnetization ... 2.268 μB per atom


Entry 13:
Material: NaCu3S
Method: DFT, meta-GGA SCAN
State: single point on PBEsol structure

a = 4.446 Å, b = 4.446 Å, c = 4.446 Å
α = 90.00°, β = 90.00°, γ = 90.00°
Atoms (fractional coordinates):
S: 0.500 0.500 0.500
Na: 0.000 0.000 0.000
Cu: 0.000 0.000 0.500
Cu: 0.000 0.500 0.000
Cu: 0.500 0.000 0.000

Properties
Calculated density ... 4.642 Mg/m³
Uncorrected formation energy ... 1439 meV/atom
Symmetry ... Pm-3m (221)
Total magnetization ... 0.000 μB per atom


Entry 14:
Material: LiFeMoPt2
Method: DFT, meta-GGA SCAN
State: single point on PBEsol structure

a = 4.199 Å, b = 4.646 Å, c = 4.646 Å
α = 90.00°, β = 90.00°, γ = 90.00°
Last column: magnetic moment on the atom in μB.
Atoms (fractional coordinates):
Pt: 0.000 0.000 0.500  0.35
Pt: 0.000 0.500 0.000  0.35
Fe: 0.000 0.000 0.000  1.49
Li: 0.500 0.500 0.500  0.00
Mo: 0.500 0.000 0.000  0.66

Properties
Calculated density ... 10.059 Mg/m³
Symmetry ... P4/mmm (123)
E ... -38.410 eV per atom
Total magnetization ... 0.569 μB per atom